1.
Below is a relaxed structure of CuNi2TeO6, with properties calculated at the PBE+U level.

## Properties
space group = P1 (1)
DOS at the Fermi energy = 0.498 states/eV/cell
raw total energy = -5.1351 eV/atom

Unit cell a=5.077 b=5.285 c=5.684 alpha=59.07 beta=62.18 gamma=60.32
Last column: magnetic moment on the atom in μB.
Fractional positions:
O 0.696 0.130 0.775  0.10
O 0.114 0.423 0.755  0.16
O 0.215 0.934 0.252  0.12
O 0.597 0.212 0.253  0.12
O 0.948 0.579 0.229  0.07
O 0.416 0.718 0.759  0.17
Te 0.321 0.323 0.036  0.01
Ni 0.020 0.011 0.957  1.78
Ni 0.526 0.512 0.432  1.78
Cu 0.808 0.818 0.568  0.62


2.
Below is a relaxed structure of ThCu3Ni4O12, with properties calculated at the PBE+U level.

## Properties
space group = Im-3 (204)
DOS at the Fermi energy = 5.643 states/eV/cell
raw total energy = -5.6038 eV/atom

Unit cell a=6.374 b=6.374 c=6.374 alpha=109.47 beta=109.47 gamma=109.47
Last column: magnetic moment on the atom in μB.
Fractional positions:
Cu 0.000 0.500 0.500  0.01
Cu 0.500 0.000 0.500  0.01
Cu 0.500 0.500 0.000  0.01
O 0.692 0.168 0.860  -0.07
O 0.692 0.832 0.525  -0.07
O 0.308 0.168 0.475  -0.07
O 0.475 0.308 0.168  -0.07
O 0.168 0.475 0.308  -0.07
O 0.168 0.860 0.692  -0.07
O 0.140 0.308 0.832  -0.07
O 0.525 0.692 0.832  -0.07
O 0.832 0.525 0.692  -0.07
O 0.308 0.832 0.140  -0.07
O 0.860 0.692 0.168  -0.07
O 0.832 0.140 0.308  -0.07
Ni 0.500 0.500 0.500  1.46
Ni 0.500 0.000 0.000  1.46
Ni 0.000 0.500 0.000  1.46
Ni 0.000 0.000 0.500  1.46
Th 0.000 0.000 0.000  0.01


3.
Below is a relaxed structure of TiCu2NiO4, with properties calculated at the PBE+U level.

## Properties
space group = R-3m (166)
DOS at the Fermi energy = 2.472 states/eV/cell
raw total energy = -6.1877 eV/atom
distance to the lowest polymorph of the same formula = 0 meV/atom

Unit cell a=11.679 b=11.679 c=11.679 alpha=14.84 beta=14.84 gamma=14.84
Last column: magnetic moment on the atom in μB.
Fractional positions:
Cu 0.248 0.248 0.248  -0.03
Cu 0.752 0.752 0.752  -0.03
O 0.803 0.803 0.803  -0.08
O 0.303 0.303 0.303  0.00
O 0.697 0.697 0.697  0.00
O 0.197 0.197 0.197  -0.08
Ti 0.000 0.000 0.000  0.54
Ni 0.500 0.500 0.500  1.59


4.
Below is a relaxed structure of TiCu2NiO4, with properties calculated at the PBE+U level.

## Properties
space group = P2/m (10)
DOS at the Fermi energy = 1.233 states/eV/cell
raw total energy = -6.1633 eV/atom
distance to the lowest polymorph of the same formula = 24 meV/atom

Unit cell a=2.950 b=5.316 c=6.309 alpha=57.23 beta=90.00 gamma=90.00
Last column: magnetic moment on the atom in μB.
Fractional positions:
O 0.500 0.176 0.709  0.05
O 0.500 0.824 0.291  0.05
O 0.000 0.709 0.704  0.03
O 0.000 0.291 0.296  0.03
Cu 0.000 0.000 0.000  -0.02
Cu 0.500 0.500 0.000  0.00
Ti 0.500 0.000 0.500  0.05
Ni 0.000 0.500 0.500  1.73


5.
Below is a relaxed structure of TmCu3Ni4O12, with properties calculated at the PBE+U level.

## Properties
space group = Im-3 (204)
DOS at the Fermi energy = 4.810 states/eV/cell
raw total energy = -5.3124 eV/atom

Unit cell a=6.291 b=6.291 c=6.291 alpha=109.47 beta=109.47 gamma=109.47
Last column: magnetic moment on the atom in μB.
Fractional positions:
Ni 0.000 0.000 0.500  1.34
Ni 0.500 0.000 0.000  1.34
Ni 0.500 0.500 0.500  1.34
Ni 0.000 0.500 0.000  1.34
O 0.168 0.472 0.305  -0.10
O 0.832 0.528 0.695  -0.10
O 0.168 0.863 0.695  -0.10
O 0.695 0.832 0.528  -0.10
O 0.137 0.305 0.832  -0.10
O 0.528 0.695 0.832  -0.10
O 0.863 0.695 0.168  -0.10
O 0.305 0.168 0.472  -0.10
O 0.305 0.832 0.137  -0.10
O 0.832 0.137 0.305  -0.10
O 0.695 0.168 0.863  -0.10
O 0.472 0.305 0.168  -0.10
Cu 0.000 0.500 0.500  0.00
Cu 0.500 0.000 0.500  0.00
Cu 0.500 0.500 0.000  0.00
Tm 0.000 0.000 0.000  0.02


6.
Below is a relaxed structure of UCuNiO6, with properties calculated at the PBE+U level.

## Properties
space group = P-31c (163)
DOS at the Fermi energy = 10.565 states/eV/cell
raw total energy = -6.8343 eV/atom

Unit cell a=5.169 b=5.169 c=9.027 alpha=90.00 beta=90.00 gamma=120.00
Last column: magnetic moment on the atom in μB.
Fractional positions:
O 0.332 0.988 0.129  0.11
O 0.668 0.012 0.871  0.11
O 0.988 0.656 0.871  0.11
O 0.988 0.332 0.629  0.11
O 0.656 0.668 0.129  0.11
O 0.656 0.988 0.371  0.11
O 0.012 0.668 0.371  0.11
O 0.332 0.344 0.371  0.11
O 0.668 0.656 0.629  0.11
O 0.344 0.332 0.871  0.11
O 0.012 0.344 0.129  0.11
O 0.344 0.012 0.629  0.11
U 0.333 0.667 0.750  0.04
U 0.667 0.333 0.250  0.04
Cu 0.667 0.333 0.750  0.50
Cu 0.333 0.667 0.250  0.50
Ni 0.000 0.000 0.500  1.76
Ni 0.000 0.000 0.000  1.76


7.
Below is a relaxed structure of UCuNi2O6, with properties calculated at the PBE+U level.

## Properties
space group = P4mm (99)
DOS at the Fermi energy = 5.978 states/eV/cell
raw total energy = -6.2709 eV/atom

Unit cell a=4.075 b=5.954 c=5.954 alpha=90.00 beta=90.00 gamma=90.00
Last column: magnetic moment on the atom in μB.
Fractional positions:
O 0.243 0.500 0.500  0.60
O 0.745 0.753 0.753  0.05
O 0.745 0.247 0.753  0.05
O 0.244 0.000 0.000  0.00
O 0.745 0.753 0.247  0.05
O 0.745 0.247 0.247  0.05
Ni 0.748 0.500 0.000  1.61
Ni 0.748 0.000 0.500  1.61
Cu 0.741 0.500 0.500  0.28
U 0.744 0.000 0.000  -0.01


8.
Below is a relaxed structure of V2Cu3NiO6, with properties calculated at the PBE+U level.

## Properties
space group = C2 (5)
raw total energy = -6.2559 eV/atom

Unit cell a=5.253 b=5.253 c=6.022 alpha=98.35 beta=98.35 gamma=119.49
Last column: magnetic moment on the atom in μB.
Fractional positions:
O 0.555 0.238 0.180  0.01
O 0.241 0.566 0.180  0.00
O 0.883 0.874 0.180  0.00
O 0.126 0.117 0.820  0.00
O 0.762 0.445 0.820  0.01
O 0.434 0.759 0.820  0.00
Ni 0.834 0.166 0.000  1.75
Cu 0.003 0.997 0.500  -0.01
Cu 0.338 0.662 0.500  -0.01
Cu 0.660 0.340 0.500  -0.01
V 0.500 0.500 0.000  1.13
V 0.166 0.834 0.000  1.90